Entry 1:
PBE-GGA Pa2PbS6, relaxed; energy relative to the lowest polymorph listed for this composition = 0 meV/atom; E_tot = -0.4847 Ry per atom; E_form (uncorrected) = -1321 meV per atom; M_tot = 0.00 μB per formula unit
1.0
0.146 6.953 0.083
-5.780 -3.109 2.295
-0.062 1.647 7.319
Pa S Pb
2 6 1
Cartesian
-4.728 2.905 5.619
-0.967 2.586 4.078
-3.454 1.867 3.544
-2.241 3.625 6.153
-4.593 0.784 7.211
-5.609 -1.801 4.352
-1.102 4.707 2.486
-0.086 7.292 5.344
0.073 3.477 0.041

---

Entry 2:
PBE-GGA CaMg6In4, relaxed; DFT formation energy = -12 kJ/mol of atoms; E_tot = -0.1596 Ry per atom; M_tot = 0.00 μB per formula unit
1.0
4.604 0.000 0.000
0.000 8.378 0.000
0.000 -4.189 7.256
Mg In Ca
6 4 1
Cartesian
2.302 -1.606 5.765
0.000 2.519 3.383
2.302 0.000 2.982
0.000 4.189 0.490
0.000 5.860 3.383
2.302 1.606 5.765
2.302 5.920 1.419
2.302 4.189 4.418
0.000 0.000 4.837
2.302 2.458 1.419
0.000 0.000 0.000

---

Entry 3:
PBE-GGA Cs2AlCdH6, relaxed; E_tot = -0.2004 Ry per atom; M_tot = 0.00 μB per formula unit
1.0
5.704 0.000 0.000
0.000 5.704 0.000
-2.852 -2.851 5.405
Cd H Cs Al
1 6 2 1
Cartesian
2.853 2.856 0.339
2.852 2.855 2.226
-1.608 -1.605 5.356
0.000 0.003 1.951
1.607 1.610 5.358
-1.609 1.611 5.356
1.608 -1.606 5.356
2.852 0.003 3.091
0.000 2.855 3.091
0.000 0.003 0.294

---

Entry 4:
PBE-GGA YPBr2, relaxed; energy relative to the lowest polymorph listed for this composition = 1281 meV/atom; E_tot = -0.2668 Ry per atom; E_form (uncorrected) = 175 meV per atom; M_tot = 0.00 μB per formula unit
1.0
2.076 0.000 9.946
-1.038 1.797 9.946
-1.038 -1.797 9.946
Br P Y
2 1 1
Cartesian
0.000 0.000 27.125
0.000 0.000 2.712
0.000 0.000 14.919
0.000 0.000 0.000

---

Entry 5:
PBE-GGA SmYOsPd, relaxed; DFT formation energy = -43 kJ/mol of atoms; E_tot = -0.5403 Ry per atom; M_tot = 0.00 μB per formula unit
1.0
4.936 0.000 0.000
2.468 4.274 0.000
2.468 1.425 4.030
Os Sm Pd Y
1 1 1 1
Cartesian
0.000 0.000 0.000
7.404 4.274 3.022
4.936 2.850 2.015
2.468 1.425 1.007

---

Entry 6:
PBE-GGA ZrSc5Sb4, relaxed; E_tot = -0.4589 Ry per atom; E_form (uncorrected) = -575 meV per atom; M_tot = 1.33 μB per formula unit
1.0
-2.925 3.607 -0.776
-5.562 -3.846 3.087
8.733 4.836 3.845
Sb Sc Zr
4 5 1
Cartesian
0.564 3.818 1.338
-1.337 -0.863 1.032
1.583 5.459 5.124
-0.318 0.778 4.817
-0.404 3.646 4.188
0.650 0.950 1.967
-2.350 -1.107 3.713
-4.243 -0.120 1.155
2.596 5.703 2.443
-1.462 1.803 -0.388

---

Entry 7:
PBE-GGA YThCdIr, relaxed; DFT formation energy = -40 kJ/mol of atoms; E_tot = -0.4650 Ry per atom; M_tot = 0.00 μB per formula unit
1.0
5.154 0.000 0.000
2.577 4.463 0.000
2.577 1.488 4.208
Th Ir Cd Y
1 1 1 1
Cartesian
2.577 1.488 1.052
5.154 2.976 2.104
0.000 0.000 0.000
7.731 4.463 3.156

---

Entry 8:
PBE-GGA DyYAlFe, relaxed; DFT formation energy = -7 kJ/mol of atoms; E_tot = -0.4330 Ry per atom; M_tot = 1.50 μB per formula unit
1.0
4.988 0.000 0.000
2.494 4.320 0.000
2.494 1.440 4.073
Fe Al Y Dy
1 1 1 1
Cartesian
2.494 1.440 1.018
7.482 4.320 3.054
0.000 0.000 0.000
4.988 2.880 2.036

---

Entry 9:
PBE-GGA CsDyAs2O6, relaxed; E_tot = -0.4621 Ry per atom; E_form (uncorrected) = -1837 meV per atom; M_tot = 0.00 μB per formula unit
1.0
-1.049 0.301 7.129
-7.126 0.030 -1.105
1.647 -6.520 -1.001
O Dy Cs As
12 2 2 4
Cartesian
-6.062 -2.678 4.671
-5.235 -0.491 3.086
-5.342 -5.943 4.030
-5.679 -4.765 1.097
-3.131 -4.823 -0.782
-3.398 -1.366 5.805
-0.466 -3.511 0.352
-1.187 -0.246 0.992
-0.849 -1.424 3.925
-3.652 -3.717 3.613
-1.293 -5.698 1.937
-2.876 -2.472 1.410
-3.462 -4.752 1.436
-3.067 -1.437 3.587
-1.042 -4.644 4.713
-5.486 -1.545 0.309
0.164 -5.146 1.038
-4.924 -4.261 4.765
-1.604 -1.928 0.258
-6.693 -1.043 3.985

---

Entry 10:
PBE-GGA HfPAu2Cl, relaxed; E_tot = -0.2834 Ry per atom; E_form (uncorrected) = 897 meV per atom; M_tot = 0.00 μB per formula unit
1.0
-2.816 -3.897 0.553
-0.015 -0.650 -4.653
3.936 -2.791 0.377
Au Hf P Cl
2 1 1 1
Cartesian
1.968 -1.395 0.188
-1.408 -1.949 0.277
-0.008 -0.325 -2.327
0.553 -3.669 -1.861
0.000 0.000 0.000

---

Entry 11:
PBE-GGA ScInH, relaxed; energy relative to the lowest polymorph listed for this composition = 0 meV/atom; E_tot = -0.3376 Ry per atom; M_tot = 0.00 μB per formula unit
1.0
-4.359 -2.695 -0.264
1.317 -1.892 -2.434
0.364 -0.903 3.208
In Sc H
1 1 1
Cartesian
-2.223 -3.029 1.151
-0.725 -0.448 -0.044
0.271 -2.013 -0.598

---

Entry 12:
PBE-GGA K2Pd2S, relaxed; E_tot = -0.2654 Ry per atom; E_form (uncorrected) = -269 meV per atom; M_tot = 0.00 μB per formula unit
1.0
-3.077 4.509 3.705
-5.776 -1.752 -2.664
-0.665 -3.563 3.785
Pd K S
4 4 2
Cartesian
-3.005 2.712 2.025
-6.412 2.596 1.318
-5.848 0.046 -0.984
-2.441 0.161 -0.277
-4.776 1.378 4.087
-7.183 -0.203 2.175
-2.334 -0.603 2.651
-4.741 -2.184 0.739
0.000 0.000 0.000
-4.427 1.379 0.521

---

Entry 13:
PBE-GGA Rb2HgPbI4, relaxed; E_tot = -0.1819 Ry per atom; E_form (uncorrected) = -957 meV per atom; M_tot = 0.00 μB per formula unit
1.0
-3.881 -1.110 2.895
2.894 -3.946 6.628
1.922 5.769 9.050
I Hg Rb Pb
4 1 2 1
Cartesian
-0.269 -2.998 7.012
-0.017 -2.842 11.671
0.952 3.555 6.901
1.204 3.711 11.560
0.467 0.356 9.286
0.635 0.250 5.209
0.299 0.463 13.364
0.000 0.000 0.000

---

Entry 14:
PBE-GGA Nd2Dy2Th3, relaxed; DFT formation energy = 7 kJ/mol of atoms; E_tot = -0.4250 Ry per atom; M_tot = 0.00 μB per formula unit
1.0
3.523 0.000 -0.425
0.000 3.555 0.000
0.453 0.000 18.567
Th Nd Dy
3 2 2
Cartesian
2.064 1.778 2.295
0.000 0.000 0.000
1.912 1.778 15.847
1.294 1.778 10.728
2.682 1.778 7.414
3.371 0.000 13.126
0.605 0.000 5.016

---

Entry 15:
PBE-GGA ReGeAs2Se, relaxed; energy relative to the lowest polymorph listed for this composition = 0 meV/atom; E_tot = -0.3900 Ry per atom; E_form (uncorrected) = 664 meV per atom; M_tot = 0.50 μB per formula unit
1.0
-3.884 1.557 -2.105
-2.212 0.065 4.129
1.658 5.225 0.806
As Se Ge Re
2 1 1 1
Cartesian
-1.942 0.778 -1.053
-1.106 0.032 2.064
0.829 2.612 0.403
-2.219 3.423 1.415
0.000 0.000 0.000

---

Entry 16:
PBE-GGA GdTmZnSi, relaxed; E_tot = -0.4974 Ry per atom; E_form (uncorrected) = -456 meV per atom; M_tot = 7.14 μB per formula unit
1.0
-1.768 4.136 2.098
-4.747 0.223 1.431
-1.136 0.042 4.831
Tm Gd Si Zn
1 1 1 1
Cartesian
-3.826 2.200 4.180
0.000 0.000 0.000
-5.739 3.300 6.270
-1.913 1.100 2.090

---

Entry 17:
PBE-GGA Zr2NbRh, relaxed; DFT formation energy = -36 kJ/mol of atoms; E_tot = -0.6614 Ry per atom; M_tot = 0.00 μB per formula unit
1.0
-2.866 -0.084 -1.912
-2.146 -2.528 3.327
-2.985 7.965 4.126
Rh Nb Zr
2 2 4
Cartesian
-3.397 -0.990 2.030
-4.599 6.343 3.511
-3.109 2.365 1.450
-4.888 2.988 4.091
-0.888 0.306 1.318
-2.439 4.446 3.462
-2.691 0.991 3.991
-4.242 5.131 6.135

---

Entry 18:
PBE-GGA PmPr2Ho3Er6, relaxed; DFT formation energy = 2 kJ/mol of atoms; E_tot = -0.3378 Ry per atom; M_tot = 0.00 μB per formula unit
1.0
-3.780 -1.793 -4.532
2.233 -4.155 3.973
-8.591 3.696 7.100
Er Ho Pm Pr
6 3 1 2
Cartesian
-3.577 -0.167 0.249
-8.564 -1.299 3.460
-6.562 -2.085 6.293
-1.574 -0.953 3.081
-6.788 1.285 5.156
-3.350 -3.537 1.386
-7.074 -0.338 0.435
-5.069 -1.126 3.271
-3.065 -1.913 6.106
0.000 0.000 0.000
-1.775 -2.580 -1.696
0.228 -3.367 1.138

---

Entry 19:
PBE-GGA FeOs2Br, relaxed; energy relative to the lowest polymorph listed for this composition = 243 meV/atom; E_tot = -0.5315 Ry per atom; E_form (uncorrected) = 917 meV per atom; M_tot = 3.00 μB per formula unit
1.0
2.779 0.019 0.000
-1.370 2.418 0.000
0.000 0.000 9.917
Os Fe Br
2 1 1
Cartesian
0.000 0.000 9.747
0.705 1.219 2.022
0.705 1.219 7.600
0.000 0.000 5.424

---

Entry 20:
PBE-GGA Mg2ScPb5, relaxed; DFT formation energy = -8 kJ/mol of atoms; E_tot = -0.2642 Ry per atom; M_tot = 0.00 μB per formula unit
1.0
6.124 0.561 -2.427
-2.644 5.551 -2.428
-0.324 -0.567 6.578
Mg Sc Pb
2 1 5
Cartesian
-0.520 4.186 0.730
3.864 1.690 0.730
2.382 4.187 2.802
2.546 4.473 -0.487
3.707 1.413 4.014
-0.680 3.909 4.013
0.970 1.704 -1.353
0.805 1.415 1.937